# 1
VASP calculation (PBE-GGA) on a geometry-optimized CaZrCrN2 structure.

The space group is P4/mmm (No. 123) and the conventional cell measures 4.3467, 4.3467 and 5.2033 Å, with angles of 90.00, 90.00 and 90.00 degrees. The inequivalent atoms are Ca at (0.0000, 0.0000, 0.0000), Zr at (0.5000, 0.5000, 0.5000), Cr at (0.5000, 0.5000, 0.0000) and N at (0.0000, 0.5000, 0.5000).

Its energy above the most stable polymorph in this dataset is 0.0 meV/atom.

# 2
VASP calculation (PBE-GGA) on a geometry-optimized CaZr2CrN4 structure.

The space group is Cmcm (No. 63) and the conventional cell measures 3.2450, 11.1962 and 11.2281 Å, with angles of 90.00, 90.00 and 90.00 degrees. The inequivalent atoms are Ca at (0.0000, 0.0975, 0.2500), Zr at (0.0000, 0.3682, 0.0436), Cr at (0.0000, 0.1674, 0.7500), N at (0.0000, 0.0000, 0.0000), N at (0.0000, 0.2641, 0.6179) and N at (0.0000, 0.4232, 0.2500).

The value obtained for the uncorrected energy is -8.99 eV/atom.

# 3
VASP calculation (PBE-GGA) on a geometry-optimized Na2Ca2Cr structure.

The space group is P4/mbm (No. 127) and the conventional cell measures 8.2553, 8.2553 and 5.5468 Å, with angles of 90.00, 90.00 and 90.00 degrees. The inequivalent atoms are Na at (0.1569, 0.3431, 0.0000), Ca at (0.1583, 0.6583, 0.5000) and Cr at (0.0000, 0.0000, 0.5000).

The formation energy comes out at 0.552 eV/atom. Its energy above the most stable polymorph in this dataset is 84.7 meV/atom.

# 4
VASP calculation (PBE-GGA) on a geometry-optimized Na3CaCr structure.

The space group is Pm-3m (No. 221) and the conventional cell measures 5.7580, 5.7580 and 5.7580 Å, with angles of 90.00, 90.00 and 90.00 degrees. The inequivalent atoms are Na at (0.0000, 0.0000, 0.5000), Ca at (0.5000, 0.5000, 0.5000) and Cr at (0.0000, 0.0000, 0.0000).

The formation energy comes out at 0.665 eV/atom.

# 5
VASP calculation (PBE-GGA) on a geometry-optimized Na2Ca2Cr structure.

The space group is I4/mmm (No. 139) and the conventional cell measures 4.1247, 4.1247 and 20.0646 Å, with angles of 90.00, 90.00 and 90.00 degrees. The inequivalent atoms are Na at (0.0000, 0.5000, 0.2500), Ca at (0.0000, 0.0000, 0.0884) and Cr at (0.0000, 0.0000, 0.5000).

The formation energy comes out at 0.467 eV/atom. Its energy above the most stable polymorph in this dataset is 0.0 meV/atom.

# 6
VASP calculation (PBE-GGA) on a geometry-optimized NaCaCr3 structure.

The space group is Pm-3m (No. 221) and the conventional cell measures 5.1697, 5.1697 and 5.1697 Å, with angles of 90.00, 90.00 and 90.00 degrees. The inequivalent atoms are Na at (0.0000, 0.0000, 0.0000), Ca at (0.5000, 0.5000, 0.5000) and Cr at (0.0000, 0.0000, 0.5000).

The formation energy comes out at 1.537 eV/atom.

# 7
VASP calculation (PBE-GGA) on a geometry-optimized NaCa3Cr structure.

The space group is Pm-3m (No. 221) and the conventional cell measures 5.5798, 5.5798 and 5.5798 Å, with angles of 90.00, 90.00 and 90.00 degrees. The inequivalent atoms are Na at (0.0000, 0.0000, 0.0000), Ca at (0.0000, 0.5000, 0.5000) and Cr at (0.5000, 0.5000, 0.5000).

The formation energy comes out at 0.731 eV/atom. Its energy above the most stable polymorph in this dataset is 0.0 meV/atom.

# 8
VASP calculation (PBE-GGA) on a geometry-optimized Na2CaCr structure.

The space group is I-42d (No. 122) and the conventional cell measures 4.5914, 4.5914 and 24.6187 Å, with angles of 90.00, 90.00 and 90.00 degrees. The inequivalent atoms are Na at (0.2256, 0.2500, 0.1250), Ca at (0.0000, 0.0000, 0.5000) and Cr at (0.0000, 0.0000, 0.0000).

The formation energy comes out at 0.592 eV/atom. Its energy above the most stable polymorph in this dataset is 30.7 meV/atom.

# 9
VASP calculation (PBE-GGA) on a geometry-optimized Na2CaCr structure.

The space group is Fm-3m (No. 225) and the conventional cell measures 7.8450, 7.8450 and 7.8450 Å, with angles of 90.00, 90.00 and 90.00 degrees. The inequivalent atoms are Na at (0.2500, 0.2500, 0.2500), Ca at (0.0000, 0.0000, 0.0000) and Cr at (0.0000, 0.0000, 0.5000).

The formation energy comes out at 0.562 eV/atom. Its energy above the most stable polymorph in this dataset is 0.0 meV/atom.

# 10
VASP calculation (PBE-GGA) on a geometry-optimized NaCa3Cr structure.

The space group is Pm-3m (No. 221) and the conventional cell measures 5.9139, 5.9139 and 5.9139 Å, with angles of 90.00, 90.00 and 90.00 degrees. The inequivalent atoms are Na at (0.0000, 0.0000, 0.0000), Ca at (0.0000, 0.0000, 0.5000) and Cr at (0.5000, 0.5000, 0.5000).

The formation energy comes out at 0.892 eV/atom. Its energy above the most stable polymorph in this dataset is 160.3 meV/atom.

# 11
VASP calculation (PBE-GGA) on a geometry-optimized NaCa2CrNi structure.

The space group is P4/mmm (No. 123) and the conventional cell measures 5.7804, 5.7804 and 4.4034 Å, with angles of 90.00, 90.00 and 90.00 degrees. The inequivalent atoms are Na at (0.0000, 0.0000, 0.0000), Ca at (0.0000, 0.5000, 0.5000), Cr at (0.5000, 0.5000, 0.5000) and Ni at (0.5000, 0.5000, 0.0000).

The formation energy comes out at 0.566 eV/atom.

Going through the records in order, we get volume values of 19.7, 12.7, 37.8, 38.2, 34.1, 27.6, 34.7, 32.4, 30.2, 41.4, 29.4 A^3/atom.